Entry from Alexandria: crystalline Ca2TcSb at its relaxed geometry (GGA-PBE).

```
Ca2TcSb
1.0
-4.860 -6.868 6.415
9.057 -1.496 5.261
1.494 -2.275 7.421
Tc Sb Ca
2 2 4
direct
0.500 0.500 0.000
0.250 0.750 0.500
0.000 0.000 0.000
0.750 0.250 0.500
0.300 0.625 0.250
0.875 0.700 0.750
0.375 0.550 0.750
0.450 0.125 0.250
```

Values from the calculation:
The space-group type is No. 122. For the uncorrected formation energy, the calculation gives 158 meV/atom. Its crystal system is tetragonal. The calculation puts the magnetization at 0.0226 μB per atom.

Entry from Alexandria: crystalline ZrCuTe2 at its relaxed geometry (GGA-PBE).

```
ZrCuTe2
1.0
4.867 -0.011 0.005
0.016 4.867 0.005
-0.006 -0.006 3.672
Te Cu Zr
2 1 1
direct
0.000 0.000 0.000
0.500 0.500 0.000
0.000 0.500 0.500
0.500 0.000 0.500
```

Values from the calculation:
The space-group type is No. 123. For the uncorrected formation energy, the calculation gives -175 meV/atom. Its crystal system is tetragonal. The calculation puts the magnetization at 0.0000 μB per atom.

Entry from Alexandria: crystalline MnZn2CoBr at its relaxed geometry (GGA-PBE).

```
MnZn2CoBr
1.0
-1.548 1.962 4.379
-4.380 -0.601 -1.279
0.026 -4.598 2.070
Br Zn Mn Co
1 2 1 1
direct
0.000 0.000 0.000
0.000 0.000 0.500
0.500 0.000 0.000
0.000 0.500 0.000
0.500 0.500 0.500
```

Values from the calculation:
The space-group type is No. 123. For the uncorrected formation energy, the calculation gives 1358 meV/atom. Its crystal system is tetragonal. The calculation puts the magnetization at 1.1696 μB per atom.

Entry from Alexandria: crystalline Tm2CuGe3Ir4 at its relaxed geometry (GGA-PBE).

```
Tm2CuGe3Ir4
1.0
-1.909 -2.557 -2.592
3.343 -2.391 -0.104
-3.660 -5.470 8.092
Tm Ge Ir Cu
2 3 4 1
direct
0.000 0.500 0.748
0.500 0.000 0.252
0.500 0.000 0.868
0.000 0.500 0.132
0.000 0.000 0.500
0.000 0.500 0.362
0.500 0.500 0.000
0.000 0.000 0.000
0.500 0.000 0.638
0.500 0.500 0.500
```

Values from the calculation:
The formation energy from the elements comes out at -0.656 eV per atom. The space-group type is No. 115. Its crystal system is tetragonal. The calculation puts the magnetization at 0.0000 μB per atom.

Entry from Alexandria: crystalline Dy6CdIr5 at its relaxed geometry (GGA-PBE).

```
Dy6CdIr5
1.0
0.041 -4.308 -2.203
-0.462 -3.246 6.341
-7.278 2.294 0.644
Dy Cd Ir
6 1 5
direct
0.500 0.264 0.000
0.172 0.746 0.344
0.828 0.746 0.656
0.828 0.254 0.656
0.172 0.254 0.344
0.500 0.736 0.000
0.000 0.000 0.000
0.332 0.500 0.664
0.000 0.500 0.000
0.668 0.500 0.336
0.340 0.000 0.677
0.660 0.000 0.323
```

Values from the calculation:
The formation energy from the elements comes out at -0.730 eV per atom. The space-group type is No. 10. Its crystal system is monoclinic. The calculation puts the magnetization at 0.0000 μB per atom.

Entry from Alexandria: crystalline EuBPd2 at its relaxed geometry (GGA-PBE).

```
EuBPd2
1.0
-1.306 -1.087 -3.481
1.688 -2.943 -1.870
-3.379 -4.896 0.641
Pd B Eu
2 1 1
direct
0.293 0.293 0.122
0.707 0.707 0.878
0.000 0.000 0.000
0.500 0.500 0.500
```

Values from the calculation:
The formation energy from the elements comes out at -0.212 eV per atom. The space-group type is No. 166. Its crystal system is trigonal. The calculation puts the magnetization at 1.7890 μB per atom.

Entry from Alexandria: crystalline ScInP2 at its relaxed geometry (GGA-PBE).

```
ScInP2
1.0
5.009 -0.007 0.025
0.978 4.912 -0.025
-2.523 -3.027 3.092
Sc In P
1 1 2
direct
0.750 0.250 0.500
0.250 0.750 0.500
0.994 0.994 0.000
0.506 0.506 0.000
```

Values from the calculation:
The formation energy from the elements comes out at -0.236 eV per atom. The space-group type is No. 71. Its crystal system is orthorhombic. The calculation puts the magnetization at 0.0000 μB per atom.

Entry from Alexandria: crystalline Pm8GeSb5 at its relaxed geometry (GGA-PBE).

```
Pm8GeSb5
1.0
-7.804 -2.289 -0.074
3.434 -1.703 -7.174
3.866 -4.017 5.922
Pm Sb Ge
8 5 1
direct
0.480 0.607 0.227
0.127 0.738 0.006
0.773 0.253 0.380
0.620 0.393 0.874
0.994 0.121 0.732
0.611 0.879 0.873
0.268 0.262 0.389
0.126 0.747 0.520
0.994 0.369 0.121
0.500 0.000 0.500
0.752 0.631 0.625
0.375 0.127 0.006
0.879 0.873 0.248
0.250 0.500 0.750
```

Values from the calculation:
The space-group type is No. 82. For the uncorrected formation energy, the calculation gives -1020 meV/atom. Its crystal system is tetragonal. The calculation puts the magnetization at 0.0000 μB per atom.

Entry from Alexandria: crystalline Eu2HgAs at its relaxed geometry (GGA-PBE).

```
Eu2HgAs
1.0
5.380 0.000 0.000
2.690 4.659 0.000
2.690 1.553 4.392
As Eu Hg
1 2 1
direct
0.500 0.500 0.500
0.750 0.750 0.750
0.250 0.250 0.250
0.000 0.000 0.000
```

Values from the calculation:
The formation energy from the elements comes out at -0.788 eV per atom. The space-group type is No. 225. Its crystal system is cubic. The calculation puts the magnetization at 3.6557 μB per atom. Its offset from the most stable computed form is 0.0618 eV per atom.

Entry from Alexandria: crystalline PrNdSmIn at its relaxed geometry (GGA-PBE).

```
PrNdSmIn
1.0
-0.839 4.404 3.368
-3.380 -0.476 4.448
2.157 0.023 5.176
Nd Sm In Pr
1 1 1 1
direct
0.750 0.750 0.750
0.250 0.250 0.250
0.500 0.500 0.500
0.000 0.000 0.000
```

Values from the calculation:
The formation energy from the elements comes out at -0.121 eV per atom. The space-group type is No. 216. Its crystal system is cubic. The calculation puts the magnetization at 0.3273 μB per atom.

Entry from Alexandria: crystalline PmNdBi at its relaxed geometry (GGA-PBE).

```
PmNdBi
1.0
4.509 0.000 0.000
0.000 4.509 0.000
0.000 0.000 11.083
Nd Bi Pm
2 2 2
direct
0.500 0.000 0.658
0.000 0.500 0.342
0.500 0.000 0.366
0.000 0.500 0.634
0.500 0.000 0.083
0.000 0.500 0.917
```

Values from the calculation:
The formation energy from the elements comes out at -0.386 eV per atom. The space-group type is No. 129. Its crystal system is tetragonal. The calculation puts the magnetization at 0.1664 μB per atom. Its offset from the most stable computed form is 0.2844 eV per atom.

Entry from Alexandria: crystalline LiMgSbOs2 at its relaxed geometry (GGA-PBE).

```
LiMgSbOs2
1.0
4.660 0.000 0.000
0.000 4.660 0.000
0.000 0.000 3.943
Os Li Mg Sb
2 1 1 1
direct
0.500 0.000 0.000
0.000 0.500 0.000
0.000 0.000 0.500
0.000 0.000 0.000
0.500 0.500 0.500
```

Values from the calculation:
The space-group type is No. 123. For the uncorrected formation energy, the calculation gives 1344 meV/atom. Its crystal system is tetragonal. The calculation puts the magnetization at 0.0000 μB per atom.